(1)
DFT (GGA-PBE) results for an optimized crystal structure of SrTbIn4Ni2. Values from VASP.

Quantum ESPRESSO input file:
```
&SYSTEM
  ibrav = 0, nat = 8, ntyp = 4
/
ATOMIC_SPECIES
In 114.82 In.upf
Ni 58.69 Ni.upf
Sr 87.62 Sr.upf
Tb 158.93 Tb.upf
ATOMIC_POSITIONS crystal
In 0.203 0.150 0.150
In 0.797 0.150 0.150
In 0.307 0.849 0.849
In 0.693 0.849 0.849
Ni 0.500 0.281 0.281
Ni 0.000 0.720 0.720
Sr 0.000 0.440 0.440
Tb 0.500 0.560 0.560
CELL_PARAMETERS angstrom
7.695 0.000 0.000
0.000 2.186 5.324
0.000 -2.186 5.324
```

---

(2)
! NbNiSnHg GGA-PBE optimized geometry; values from VASP
&SYSTEM
  ibrav = 0, nat = 4, ntyp = 4
/
ATOMIC_SPECIES
Hg 200.59 Hg.upf
Nb 92.91 Nb.upf
Ni 58.69 Ni.upf
Sn 118.71 Sn.upf
ATOMIC_POSITIONS crystal
Hg 0.250 0.250 0.250
Nb 0.500 0.500 0.500
Ni 0.750 0.750 0.750
Sn 0.000 0.000 0.000
CELL_PARAMETERS angstrom
0.000 3.332 3.332
3.332 0.000 3.332
3.332 3.332 0.000
! Offset from the most stable computed form   137 meV per atom

---

(3)
! DyAgNO GGA-PBE optimized geometry; values from VASP
&SYSTEM
  ibrav = 0, nat = 8, ntyp = 4
/
ATOMIC_SPECIES
Ag 107.87 Ag.upf
Dy 162.50 Dy.upf
N 14.01 N.upf
O 16.00 O.upf
ATOMIC_POSITIONS crystal
Ag 0.750 0.250 0.500
Ag 0.250 0.750 0.500
Dy 0.250 0.250 0.145
Dy 0.750 0.750 0.855
N 0.750 0.750 0.320
N 0.250 0.250 0.680
O 0.750 0.250 0.000
O 0.250 0.750 0.000
CELL_PARAMETERS angstrom
2.719 -2.719 0.000
2.719 2.719 0.000
0.000 0.000 7.688
! Offset from the most stable computed form   181 meV per atom

---

no.,total moment (μB per formula unit),uncorrected energy (eV per atom)
1,0.00,-3.922
2,1.00,-4.565
3,1.00,-6.169